Record 1
Material: NbBiAsO
Method: DFT, PBE
State: relaxed

Summary:
V = 183.9 Å³/cell
Energy relative to the lowest polymorph listed for this composition = 0 meV/atom
E = -53.71 eV for the cell shown

abc: 3.4658 7.3497 7.2214
angles: 90.00 90.00 90.00
With the nearest neighbours (Å) after each atom.
Fractional coordinates of all 8 atoms:
Nb: 0.0000 0.0660 0.0000  2 O 1.89-2.02
Nb: 0.0000 0.9340 0.5000  2 O 1.89-2.02
Bi: 0.5000 0.2869 0.5589  2 As 2.73-3.03
Bi: 0.5000 0.7131 0.0589  2 As 2.73-3.03
As: 0.5000 0.3194 0.9360  2 Nb 2.59, 1 Bi 2.73
As: 0.5000 0.6806 0.4360  2 Nb 2.59, 1 Bi 2.73
O: 0.0000 0.0793 0.2618  2 Nb 1.89-2.02
O: 0.0000 0.9207 0.7618  2 Nb 1.89-2.02

---

Record 2
Material: Tl2OsW2
Method: DFT, PBE
State: relaxed

Summary:
V = 101.5 Å³/cell
E = -34.43 eV for the cell shown

abc: 8.2256 8.2256 8.2256
angles: 154.70 154.70 36.08
With the nearest neighbours (Å) after each atom.
Fractional coordinates of all 5 atoms:
Tl: 0.0964 0.0964 0.0000  4 Os 2.96, 4 W 3.00, 1 Tl 3.02
Tl: 0.9036 0.9036 0.0000  4 Os 2.96, 4 W 3.00, 1 Tl 3.02
Os: 0.5000 0.5000 0.0000  8 Tl 2.96
W: 0.2500 0.7500 0.5000  4 W 2.55
W: 0.7500 0.2500 0.5000  4 W 2.55

---

Record 3
Material: LiMgCdAg
Method: DFT, PBE
State: relaxed

Summary:
V = 73.4 Å³/cell
Energy relative to the lowest polymorph listed for this composition = 0 meV/atom
E = -8.14 eV for the cell shown

abc: 4.6989 4.6989 4.6989
angles: 60.00 60.00 60.00
With the nearest neighbours (Å) after each atom.
Fractional coordinates of all 4 atoms:
Li: 0.0000 0.0000 0.0000  4 Cd 2.88, 4 Mg 2.88
Mg: 0.7500 0.7500 0.7500  4 Ag 2.88, 4 Li 2.88
Cd: 0.2500 0.2500 0.2500  4 Li 2.88, 4 Ag 2.88
Ag: 0.5000 0.5000 0.5000  4 Mg 2.88, 4 Cd 2.88

---

Record 4
Material: LiLuCdSe3
Method: DFT, PBE
State: relaxed

Summary:
V = 546.2 Å³/cell
Energy relative to the lowest polymorph listed for this composition = 0 meV/atom
E = -101.35 eV for the cell shown

abc: 11.1891 4.0248 12.1276
angles: 90.00 90.00 90.00
With the nearest neighbours (Å) after each atom.
Fractional coordinates of all 24 atoms:
Li: 0.1265 0.2500 0.0716  6 Se 2.78-2.87
Li: 0.3735 0.7500 0.5716  6 Se 2.78-2.87
Li: 0.6265 0.2500 0.4284  6 Se 2.78-2.87
Li: 0.8735 0.7500 0.9284  6 Se 2.78-2.87
Lu: 0.1276 0.2500 0.7516  6 Se 2.80-2.84
Lu: 0.3724 0.7500 0.2516  6 Se 2.80-2.84
Lu: 0.6276 0.2500 0.7484  6 Se 2.80-2.84
Lu: 0.8724 0.7500 0.2484  6 Se 2.80-2.84
Cd: 0.1251 0.2500 0.3994  6 Se 2.75-3.03
Cd: 0.3749 0.7500 0.8994  6 Se 2.75-3.03
Cd: 0.6251 0.2500 0.1006  6 Se 2.75-3.03
Cd: 0.8749 0.7500 0.6006  6 Se 2.75-3.03
Se: 0.1207 0.7500 0.5866  3 Cd 2.76-3.03, 1 Li 2.83, 2 Lu 2.84
Se: 0.1231 0.7500 0.2333  2 Lu 2.80-2.81, 2 Li 2.81, 2 Cd 2.85
Se: 0.1298 0.7500 0.9131  1 Cd 2.75, 3 Li 2.78-2.87, 2 Lu 2.81
Se: 0.3702 0.2500 0.4131  1 Cd 2.75, 3 Li 2.78-2.87, 2 Lu 2.81
Se: 0.3769 0.2500 0.7333  2 Lu 2.80-2.81, 2 Li 2.81, 2 Cd 2.85
Se: 0.3793 0.2500 0.0866  3 Cd 2.76-3.03, 1 Li 2.83, 2 Lu 2.84
Se: 0.6207 0.7500 0.9134  3 Cd 2.76-3.03, 1 Li 2.83, 2 Lu 2.84
Se: 0.6231 0.7500 0.2667  2 Lu 2.80-2.81, 2 Li 2.81, 2 Cd 2.85
Se: 0.6298 0.7500 0.5869  1 Cd 2.75, 3 Li 2.78-2.87, 2 Lu 2.81
Se: 0.8702 0.2500 0.0869  1 Cd 2.75, 3 Li 2.78-2.87, 2 Lu 2.81
Se: 0.8769 0.2500 0.7667  2 Lu 2.80-2.81, 2 Li 2.81, 2 Cd 2.85
Se: 0.8793 0.2500 0.4134  3 Cd 2.76-3.03, 1 Li 2.83, 2 Lu 2.84

---

Record 5
Material: Nd3Gd2ErFeTe2
Method: DFT, PBE
State: relaxed

Summary:
V = 251.9 Å³/cell
E = -48.53 eV for the cell shown

abc: 4.0451 8.4764 8.4764
angles: 119.91 90.00 90.00
With the nearest neighbours (Å) after each atom.
Fractional coordinates of all 9 atoms:
Nd: 0.0000 0.0000 0.0000  4 Te 3.27, 1 Fe 3.46, 4 Gd 3.60
Nd: 0.0000 0.1952 0.5966  4 Te 3.28-3.29, 1 Fe 3.39, 2 Er 3.58, 2 Gd 3.58
Nd: 0.0000 0.5966 0.1952  4 Te 3.28-3.29, 1 Fe 3.39, 2 Er 3.58, 2 Gd 3.58
Gd: 0.5000 0.5961 0.8269  2 Fe 2.82
Gd: 0.5000 0.8269 0.5961  2 Fe 2.82
Er: 0.5000 0.3670 0.3670  2 Fe 2.79
Fe: 0.0000 0.5928 0.5928  2 Er 2.79, 4 Gd 2.82
Te: 0.5000 0.2632 0.9315  6 Nd 3.27-3.29, 1 Er 3.34, 2 Gd 3.35-3.36
Te: 0.5000 0.9315 0.2632  6 Nd 3.27-3.29, 1 Er 3.34, 2 Gd 3.35-3.36

---

Record 6
Material: LaPrNi8B2
Method: DFT, PBE
State: relaxed

Summary:
V = 158.2 Å³/cell
Energy relative to the lowest polymorph listed for this composition = 0 meV/atom
E = -72.59 eV for the cell shown

abc: 5.1030 5.1030 7.0143
angles: 90.00 90.00 120.00
With the nearest neighbours (Å) after each atom.
Fractional coordinates of all 12 atoms:
La: 0.0000 0.0000 0.0000  18 Ni 2.95-3.29
Pr: 0.0000 0.0000 0.5000  12 Ni 2.93, 6 B 2.95
Ni: 0.0000 0.5000 0.2952  2 B 2.06
Ni: 0.0000 0.5000 0.7048  2 B 2.06
Ni: 0.3333 0.6667 0.0000  6 Ni 2.54
Ni: 0.5000 0.0000 0.2952  2 B 2.06
Ni: 0.5000 0.0000 0.7048  2 B 2.06
Ni: 0.5000 0.5000 0.2952  2 B 2.06
Ni: 0.5000 0.5000 0.7048  2 B 2.06
Ni: 0.6667 0.3333 0.0000  6 Ni 2.54
B: 0.3333 0.6667 0.5000  6 Ni 2.06
B: 0.6667 0.3333 0.5000  6 Ni 2.06

---

Record 7
Material: GaW2N
Method: DFT, PBE
State: relaxed

Summary:
V = 103.6 Å³/cell
E = -73.87 eV for the cell shown

abc: 2.8374 2.8374 14.8112
angles: 90.00 90.00 119.71
With the nearest neighbours (Å) after each atom.
Fractional coordinates of all 8 atoms:
Ga: 0.1620 0.8380 0.7500  6 W 2.76-2.79, 6 Ga 2.84-2.85
Ga: 0.8380 0.1620 0.2500  6 W 2.76-2.79, 6 Ga 2.84-2.85
W: 0.1642 0.8358 0.0983  3 N 2.19-2.20
W: 0.1642 0.8358 0.4017  3 N 2.19-2.20
W: 0.8358 0.1642 0.5983  3 N 2.19-2.20
W: 0.8358 0.1642 0.9017  3 N 2.19-2.20
N: 0.5000 0.5000 0.0000  6 W 2.19-2.20
N: 0.5000 0.5000 0.5000  6 W 2.19-2.20

---

Record 8
Material: Zn2FeAs
Method: DFT, PBE
State: relaxed

Summary:
V = 55.8 Å³/cell
E = -14.23 eV for the cell shown

abc: 4.2900 4.2900 4.2900
angles: 60.00 60.00 60.00
With the nearest neighbours (Å) after each atom.
Fractional coordinates of all 4 atoms:
Zn: 0.0000 0.0000 0.0000  4 Fe 2.63, 4 Zn 2.63
Zn: 0.2500 0.2500 0.2500  4 As 2.63, 4 Zn 2.63
Fe: 0.7500 0.7500 0.7500  4 As 2.63, 4 Zn 2.63
As: 0.5000 0.5000 0.5000  4 Fe 2.63, 4 Zn 2.63

---

Record 9
Material: NpNbW
Method: DFT, PBE
State: relaxed

Summary:
V = 60.7 Å³/cell
Energy relative to the lowest polymorph listed for this composition = 333 meV/atom
E = -31.90 eV for the cell shown

abc: 4.4109 4.4109 4.4109
angles: 60.00 60.00 60.00
With the nearest neighbours (Å) after each atom.
Fractional coordinates of all 3 atoms:
Np: 0.0000 0.0000 0.0000  4 Nb 2.70, 4 W 2.70
Nb: 0.7500 0.7500 0.7500  4 Np 2.70
W: 0.2500 0.2500 0.2500  4 Np 2.70

---

Record 10
Material: Pr2Ga5Hg
Method: DFT, PBE
State: relaxed

Summary:
V = 175.3 Å³/cell
E = -29.10 eV for the cell shown

abc: 4.5990 6.6198 6.6198
angles: 60.46 90.00 90.00
With the nearest neighbours (Å) after each atom.
Fractional coordinates of all 8 atoms:
Pr: 0.0000 0.0000 0.0000  10 Ga 3.13-3.42, 2 Hg 3.15
Pr: 0.5000 0.3251 0.3251  10 Ga 3.19-3.35, 2 Hg 3.34
Ga: 0.0000 0.5146 0.9420  4 Ga 2.77-2.85, 2 Hg 2.87
Ga: 0.0000 0.5207 0.5207  6 Ga 2.77-2.80
Ga: 0.0000 0.9420 0.5146  4 Ga 2.77-2.85, 2 Hg 2.87
Ga: 0.5000 0.3689 0.7986  5 Ga 2.80-2.86, 1 Hg 2.98, 2 Pr 3.13
Ga: 0.5000 0.7986 0.3689  5 Ga 2.80-2.86, 1 Hg 2.98, 2 Pr 3.13
Hg: 0.5000 0.8118 0.8118  6 Ga 2.87-2.98, 2 Pr 3.15

---

Record 11
Material: KNdNiS4
Method: DFT, PBE
State: relaxed

Summary:
V = 329.8 Å³/cell
E = -69.77 eV for the cell shown

abc: 6.5566 5.8436 9.0127
angles: 90.00 107.22 90.00
With the nearest neighbours (Å) after each atom.
Fractional coordinates of all 14 atoms:
K: 0.2335 0.0000 0.4424  7 S 3.14-3.39
K: 0.7665 0.5000 0.5576  7 S 3.14-3.39
Nd: 0.2502 0.0030 0.9459  8 S 2.83-3.04
Nd: 0.7498 0.5030 0.0541  8 S 2.83-3.04
Ni: 0.2804 0.5030 0.1871  4 S 2.15-2.17
Ni: 0.7196 0.0030 0.8129  4 S 2.15-2.17
S: 0.0819 0.5000 0.3384  1 Ni 2.15
S: 0.1220 0.5037 0.9386  1 Ni 2.17
S: 0.4804 0.2707 0.7759  1 Ni 2.17
S: 0.4807 0.7352 0.7760  1 Ni 2.17
S: 0.5193 0.2352 0.2240  1 Ni 2.17
S: 0.5196 0.7707 0.2241  1 Ni 2.17
S: 0.8780 0.0037 0.0614  1 Ni 2.17
S: 0.9181 0.0000 0.6616  1 Ni 2.15

---

Record 12
Material: Y5PbAu2
Method: DFT, PBE
State: relaxed

Summary:
V = 252.9 Å³/cell
E = -44.46 eV for the cell shown

abc: 5.1478 5.1478 9.5443
angles: 90.00 90.00 90.00
With the nearest neighbours (Å) after each atom.
Fractional coordinates of all 8 atoms:
Y: 0.0000 0.0000 0.0000  8 Y 3.46, 2 Au 3.47, 4 Pb 3.64
Y: 0.0000 0.5000 0.2424  2 Au 2.82
Y: 0.0000 0.5000 0.7576  2 Au 2.82
Y: 0.5000 0.0000 0.2424  2 Au 2.82
Y: 0.5000 0.0000 0.7576  2 Au 2.82
Pb: 0.5000 0.5000 0.0000  12 Y 3.46-3.64
Au: 0.0000 0.0000 0.3640  1 Au 2.60, 4 Y 2.82
Au: 0.0000 0.0000 0.6360  1 Au 2.60, 4 Y 2.82

---

Record 13
Material: Hf9FeMo4
Method: DFT, PBE
State: relaxed

Summary:
V = 546.7 Å³/cell
E = -286.58 eV for the cell shown

abc: 8.6577 8.6577 8.4222
angles: 90.00 90.00 120.00
With the nearest neighbours (Å) after each atom.
Fractional coordinates of all 28 atoms:
Hf: 0.0834 0.5417 0.2500  2 Mo 2.88, 1 Fe 3.12, 4 Hf 3.18
Hf: 0.2024 0.4048 0.5584  1 Fe 2.54
Hf: 0.2024 0.4048 0.9416  1 Fe 2.54
Hf: 0.2024 0.7976 0.5584  1 Fe 2.54
Hf: 0.2024 0.7976 0.9416  1 Fe 2.54
Hf: 0.4048 0.2024 0.0584  1 Fe 2.54
Hf: 0.4048 0.2024 0.4416  1 Fe 2.54
Hf: 0.4583 0.5417 0.2500  2 Mo 2.88, 1 Fe 3.12, 4 Hf 3.18
Hf: 0.4583 0.9166 0.2500  2 Mo 2.88, 1 Fe 3.12, 4 Hf 3.18
Hf: 0.5417 0.0834 0.7500  2 Mo 2.88, 1 Fe 3.12, 4 Hf 3.18
Hf: 0.5417 0.4583 0.7500  2 Mo 2.88, 1 Fe 3.12, 4 Hf 3.18
Hf: 0.5952 0.7976 0.5584  1 Fe 2.54
Hf: 0.5952 0.7976 0.9416  1 Fe 2.54
Hf: 0.7976 0.2024 0.0584  1 Fe 2.54
Hf: 0.7976 0.2024 0.4416  1 Fe 2.54
Hf: 0.7976 0.5952 0.0584  1 Fe 2.54
Hf: 0.7976 0.5952 0.4416  1 Fe 2.54
Hf: 0.9166 0.4583 0.7500  2 Mo 2.88, 1 Fe 3.12, 4 Hf 3.18
Fe: 0.3333 0.6667 0.7500  6 Hf 2.54
Fe: 0.6667 0.3333 0.2500  6 Hf 2.54
Mo: 0.0000 0.0000 0.0000  6 Mo 2.69
Mo: 0.0000 0.0000 0.5000  6 Mo 2.69
Mo: 0.1120 0.2241 0.2500  4 Mo 2.69-2.91, 4 Hf 2.88-2.93
Mo: 0.1120 0.8880 0.2500  4 Mo 2.69-2.91, 4 Hf 2.88-2.93
Mo: 0.2241 0.1120 0.7500  4 Mo 2.69-2.91, 4 Hf 2.88-2.93
Mo: 0.7759 0.8880 0.2500  4 Mo 2.69-2.91, 4 Hf 2.88-2.93
Mo: 0.8880 0.1120 0.7500  4 Mo 2.69-2.91, 4 Hf 2.88-2.93
Mo: 0.8880 0.7759 0.7500  4 Mo 2.69-2.91, 4 Hf 2.88-2.93

---

Record 14
Material: Hf4AlNiC2
Method: DFT, PBE
State: relaxed

Summary:
V = 126.3 Å³/cell
E = -72.55 eV for the cell shown

abc: 3.2599 3.2599 13.7246
angles: 90.00 90.00 120.00
With the nearest neighbours (Å) after each atom.
Fractional coordinates of all 8 atoms:
Hf: 0.0000 0.0000 0.1402  3 C 2.32
Hf: 0.0000 0.0000 0.8598  3 C 2.32
Hf: 0.6667 0.3333 0.3286  3 C 2.25
Hf: 0.6667 0.3333 0.6714  3 C 2.25
Al: 0.0000 0.0000 0.5000  6 Hf 3.01, 6 Al 3.26
Ni: 0.6667 0.3333 0.0000  6 Hf 2.69
C: 0.3333 0.6667 0.2390  6 Hf 2.25-2.32
C: 0.3333 0.6667 0.7610  6 Hf 2.25-2.32

---

Record 15
Material: Nd4CuSi3
Method: DFT, PBE
State: relaxed

Summary:
V = 193.6 Å³/cell
E = -43.85 eV for the cell shown

abc: 5.9539 4.0253 8.0791
angles: 90.00 90.84 90.00
With the nearest neighbours (Å) after each atom.
Fractional coordinates of all 8 atoms:
Nd: 0.0000 0.0000 0.0000  6 Si 3.07-3.23, 1 Cu 3.12
Nd: 0.2390 0.5000 0.3666  2 Cu 3.06, 5 Si 3.13-3.24
Nd: 0.4966 0.5000 0.8458  2 Cu 3.02, 5 Si 3.11-3.25
Nd: 0.7356 0.0000 0.4999  5 Si 3.05-3.22, 2 Cu 3.12-3.32
Cu: 0.2198 0.0000 0.6520  2 Si 2.48
Si: 0.4953 0.0000 0.1398  2 Si 2.53
Si: 0.7348 0.5000 0.2103  2 Si 2.53
Si: 0.9938 0.5000 0.7136  2 Cu 2.48

---

Record 16
Material: DyMg
Method: DFT, PBE
State: relaxed

Summary:
V = 327.4 Å³/cell
E = -37.16 eV for the cell shown

abc: 7.1681 5.3620 8.7032
angles: 90.00 101.82 90.00
With the nearest neighbours (Å) after each atom.
Fractional coordinates of all 12 atoms:
Dy: 0.1349 0.2500 0.0411  9 Dy 3.30-3.60, 3 Mg 3.36-3.49
Dy: 0.2042 0.7500 0.3038  8 Mg 3.25-3.62, 4 Dy 3.45-3.57
Dy: 0.3589 0.7500 0.9390  5 Mg 3.25-3.63, 7 Dy 3.34-3.60
Dy: 0.6411 0.2500 0.0610  5 Mg 3.25-3.63, 7 Dy 3.34-3.60
Dy: 0.7958 0.2500 0.6962  8 Mg 3.25-3.62, 4 Dy 3.45-3.57
Dy: 0.8651 0.7500 0.9589  9 Dy 3.30-3.60, 3 Mg 3.36-3.49
Mg: 0.0260 0.7500 0.6224  6 Mg 3.20-3.53, 5 Dy 3.25-3.36
Mg: 0.2996 0.2500 0.6902  6 Mg 3.18-3.30, 4 Dy 3.42-3.55
Mg: 0.4660 0.2500 0.3786  6 Mg 3.18-3.53, 5 Dy 3.25-3.38
Mg: 0.5340 0.7500 0.6214  6 Mg 3.18-3.53, 5 Dy 3.25-3.38
Mg: 0.7004 0.7500 0.3098  6 Mg 3.18-3.30, 4 Dy 3.42-3.55
Mg: 0.9740 0.2500 0.3776  6 Mg 3.20-3.53, 5 Dy 3.25-3.36

---

Record 17
Material: NdBeO3
Method: DFT, PBE
State: relaxed

Summary:
V = 94.7 Å³/cell
E = -71.24 eV for the cell shown

abc: 5.1181 5.1181 5.1181
angles: 59.96 59.96 59.96
With the nearest neighbours (Å) after each atom.
Fractional coordinates of all 10 atoms:
Nd: 0.2500 0.2500 0.2500  12 O 2.55-2.57
Nd: 0.7500 0.7500 0.7500  12 O 2.55-2.57
Be: 0.0000 0.0000 0.0000  6 O 1.81
Be: 0.5000 0.5000 0.5000  6 O 1.81
O: 0.2482 0.7500 0.2518  2 Be 1.81
O: 0.2500 0.7482 0.7518  2 Be 1.81
O: 0.2518 0.2482 0.7500  2 Be 1.81
O: 0.7482 0.7518 0.2500  2 Be 1.81
O: 0.7500 0.2518 0.2482  2 Be 1.81
O: 0.7518 0.2500 0.7482  2 Be 1.81

---

Record 18
Material: LaScW2C3
Method: DFT, PBE
State: relaxed

Summary:
V = 105.0 Å³/cell
E = -66.35 eV for the cell shown

abc: 6.1890 6.1890 5.7658
angles: 112.57 112.57 31.23
With the nearest neighbours (Å) after each atom.
Fractional coordinates of all 7 atoms:
La: 0.0000 0.0000 0.0000  5 C 2.59-2.72
Sc: 0.7804 0.7804 0.3545  5 C 2.31-2.48
W: 0.2438 0.2438 0.8809  4 C 2.07-2.19
W: 0.5606 0.5606 0.5239  4 C 2.04-2.16
C: 0.1566 0.1566 0.4669  3 W 2.12-2.19
C: 0.3943 0.3943 0.2264  2 W 2.04-2.08
C: 0.6522 0.6522 0.9311  3 W 2.07-2.16, 1 Sc 2.31

---

Record 19
Material: SmSc2N3
Method: DFT, PBE
State: relaxed

Summary:
V = 77.4 Å³/cell
E = -52.42 eV for the cell shown

abc: 3.3153 3.3153 8.1332
angles: 90.00 90.00 120.00
With the nearest neighbours (Å) after each atom.
Fractional coordinates of all 6 atoms:
Sm: 0.0000 0.0000 0.0000  6 N 2.44
Sc: 0.3333 0.6667 0.3435  6 N 2.30
Sc: 0.6667 0.3333 0.6565  6 N 2.30
N: 0.0000 0.0000 0.5000  6 Sc 2.30
N: 0.3333 0.6667 0.8131  3 Sc 2.30, 3 Sm 2.44
N: 0.6667 0.3333 0.1869  3 Sc 2.30, 3 Sm 2.44